1.
A relaxed structure of MgCo2Se, computed with GGA-PBE.

a b c (Å): 3.455 3.483 5.406
angles (deg): 90.00 90.09 90.00
Space group Pm (No. 6)
Inequivalent atoms, fractional coordinates:
1 Mg 0.000 0.000 0.000 x1
2 Co 0.000 0.500 0.398 x1
3 Co 0.500 0.000 0.399 x1
4 Se 0.500 0.500 0.736 x1

Summary:
Calculated density   5.6 Mg/m³
Formation energy from raw total energies   36 meV/atom
DOS(E_F)   0.79 states/eV/atom
Size of the total moment   0.98 μB per atom
Final energy   -4.787 eV per atom

***

2.
A relaxed structure of MgCo2Se, computed with GGA-PBE.

a b c (Å): 4.026 4.026 3.296
angles (deg): 90.00 90.00 90.00
Space group P4/mmm (No. 123)
Inequivalent atoms, fractional coordinates:
1 Mg 0.000 0.000 0.000 x1
2 Co 0.000 0.500 0.500 x2
3 Se 0.500 0.500 0.000 x1

Summary:
Calculated density   6.9 Mg/m³
Formation energy from raw total energies   105 meV/atom
DOS(E_F)   1.05 states/eV/atom
Size of the total moment   0.48 μB per atom
Final energy   -4.717 eV per atom

***

3.
A relaxed structure of MgCo2Se, computed with GGA-PBE.

a b c (Å): 9.377 3.033 4.586
angles (deg): 90.00 101.43 90.00
Space group Cm (No. 8)
Inequivalent atoms, fractional coordinates:
1 Mg 0.000 0.000 0.000 x2
2 Co 0.162 0.000 0.567 x2
3 Co 0.456 0.000 0.513 x2
4 Se 0.272 0.500 0.290 x2

Summary:
Calculated density   5.7 Mg/m³
Formation energy from raw total energies   72 meV/atom
DOS(E_F)   0.90 states/eV/atom
Size of the total moment   0.53 μB per atom
Final energy   -4.751 eV per atom

***

4.
A relaxed structure of MgCo2Se, computed with GGA-PBE.

a b c (Å): 3.711 3.711 8.321
angles (deg): 90.00 90.00 90.00
Space group I4/mmm (No. 139)
Inequivalent atoms, fractional coordinates:
1 Mg 0.000 0.000 0.000 x2
2 Co 0.000 0.500 0.250 x4
3 Se 0.000 0.000 0.500 x2

Summary:
Calculated density   6.4 Mg/m³
Formation energy from raw total energies   163 meV/atom
DOS(E_F)   1.42 states/eV/atom
Size of the total moment   0.76 μB per atom
Final energy   -4.659 eV per atom

***

5.
A relaxed structure of MgZnCo2Se, computed with GGA-PBE.

a b c (Å): 4.474 4.474 4.860
angles (deg): 90.00 90.00 90.00
Space group P4/mmm (No. 123)
Inequivalent atoms, fractional coordinates:
1 Mg 0.000 0.000 0.000 x1
2 Zn 0.500 0.500 0.500 x1
3 Co 0.000 0.500 0.500 x2
4 Se 0.500 0.500 0.000 x1

Summary:
Calculated density   4.9 Mg/m³
Formation energy from raw total energies   784 meV/atom
DOS(E_F)   1.17 states/eV/atom
Size of the total moment   0.58 μB per atom
Final energy   -3.329 eV per atom

***

6.
A relaxed structure of MgCoSi, computed with GGA-PBE.

a b c (Å): 3.9829 3.9829 3.0860
angles (deg): 90.00 90.00 120.00
Space group P-6m2 (No. 187)
Inequivalent atoms, fractional coordinates:
1 Mg 0.0000 0.0000 0.0000 x1
2 Co 0.6667 0.3333 0.5000 x1
3 Si 0.3333 0.6667 0.5000 x1

Summary:
Calculated density   4.4 Mg/m³
Formation energy from raw total energies   -218 meV/atom
DOS(E_F)   0.55 states/eV/atom
Size of the total moment   0.00 μB per atom
Final energy   -4.926 eV per atom

***

7.
A relaxed structure of Mg2CoSi, computed with GGA-PBE.

a b c (Å): 2.8807 2.8807 26.8630
angles (deg): 90.00 90.00 120.00
Space group R-3m (No. 166, hexagonal axes)
Inequivalent atoms, fractional coordinates:
1 Mg 0.0000 0.0000 0.2420 x6
2 Co 0.0000 0.0000 0.5000 x3
3 Si 0.0000 0.0000 0.0000 x3

Summary:
Calculated density   3.5 Mg/m³
Formation energy from raw total energies   244 meV/atom
DOS(E_F)   0.85 states/eV/atom
Size of the total moment   0.29 μB per atom
Final energy   -3.685 eV per atom

***

8.
A relaxed structure of MgCoSi, computed with GGA-PBE.

a b c (Å): 2.8669 2.8669 6.0841
angles (deg): 90.00 90.00 120.00
Space group P3m1 (No. 156)
Inequivalent atoms, fractional coordinates:
1 Mg 0.0000 0.0000 0.0000 x1
2 Co 0.3333 0.6667 0.6555 x1
3 Si 0.6667 0.3333 0.3946 x1

Summary:
Calculated density   4.3 Mg/m³
Formation energy from raw total energies   -18 meV/atom
DOS(E_F)   0.47 states/eV/atom
Size of the total moment   0.11 μB per atom
Final energy   -4.726 eV per atom

***

9.
A relaxed structure of MgCo4Si, computed with GGA-PBE.

a b c (Å): 6.661 6.661 6.661
angles (deg): 90.00 90.00 90.00
Space group F-43m (No. 216)
Inequivalent atoms, fractional coordinates:
1 Mg 0.000 0.000 0.000 x4
2 Co 0.125 0.125 0.375 x16
3 Si 0.250 0.250 0.750 x4

Summary:
Calculated density   6.5 Mg/m³
Formation energy from raw total energies   64 meV/atom
DOS(E_F)   1.45 states/eV/atom
Size of the total moment   0.79 μB per atom
Final energy   -5.843 eV per atom

***

10.
A relaxed structure of Mg3CoSi, computed with GGA-PBE.

a b c (Å): 4.737 4.737 4.737
angles (deg): 90.00 90.00 90.00
Space group Pm-3m (No. 221)
Inequivalent atoms, fractional coordinates:
1 Mg 0.000 0.000 0.500 x3
2 Co 0.000 0.000 0.000 x1
3 Si 0.500 0.500 0.500 x1

Summary:
Calculated density   2.5 Mg/m³
Formation energy from raw total energies   563 meV/atom
DOS(E_F)   0.79 states/eV/atom
Size of the total moment   0.10 μB per atom
Final energy   -2.900 eV per atom

***

11.
A relaxed structure of Mg2CoSi, computed with GGA-PBE.

a b c (Å): 2.817 2.817 7.945
angles (deg): 90.00 90.00 90.00
Space group P4/mmm (No. 123)
Inequivalent atoms, fractional coordinates:
1 Mg 0.000 0.000 0.223 x2
2 Co 0.500 0.500 0.000 x1
3 Si 0.500 0.500 0.500 x1

Summary:
Calculated density   3.6 Mg/m³
Formation energy from raw total energies   163 meV/atom
DOS(E_F)   1.22 states/eV/atom
Size of the total moment   0.19 μB per atom
Final energy   -3.767 eV per atom

***

12.
A relaxed structure of Mg2CoSi, computed with GGA-PBE.

a b c (Å): 2.986 2.986 7.185
angles (deg): 90.00 90.00 90.00
Space group P4mm (No. 99)
Inequivalent atoms, fractional coordinates:
1 Mg 0.000 0.000 0.000 x1
2 Mg 0.500 0.500 0.346 x1
3 Co 0.500 0.500 0.747 x1
4 Si 0.000 0.000 0.611 x1

Summary:
Calculated density   3.5 Mg/m³
Formation energy from raw total energies   -161 meV/atom
DOS(E_F)   0.56 states/eV/atom
Size of the total moment   0.00 μB per atom
Final energy   -4.090 eV per atom